No. 1
# CrRu3W | the Alexandria database | PBEsol | optimized geometry
# calculated formation energy: 180 kJ per mole of atoms
data_CrRu3W
_cell_length_a 4.5925
_cell_length_b 4.5925
_cell_length_c 4.5925
_cell_angle_alpha 90.00
_cell_angle_beta 90.00
_cell_angle_gamma 90.00
_space_group_name_H-M_alt 'P m -3 m'
_space_group_IT_number 221
_space_group_name_Hall '-P 4 2 3'
loop_
_atom_site_label
_atom_site_type_symbol
_atom_site_fract_x
_atom_site_fract_y
_atom_site_fract_z
_atom_site_occupancy
Cr1 Cr 0.0000 0.0000 0.0000 1
Ru1 Ru 0.0000 0.5000 0.5000 1
W1 W 0.5000 0.5000 0.5000 1

No. 2
# SrLiTc2 | the Alexandria database | PBEsol | optimized geometry
# calculated formation energy: 71 kJ per mole of atoms
data_SrLiTc2
_cell_length_a 6.4755
_cell_length_b 6.4755
_cell_length_c 6.4755
_cell_angle_alpha 90.00
_cell_angle_beta 90.00
_cell_angle_gamma 90.00
_space_group_name_H-M_alt 'F -4 3 m'
_space_group_IT_number 216
_space_group_name_Hall 'F -4 2 3'
loop_
_atom_site_label
_atom_site_type_symbol
_atom_site_fract_x
_atom_site_fract_y
_atom_site_fract_z
_atom_site_occupancy
Sr1 Sr 0.0000 0.0000 0.0000 1
Li1 Li 0.2500 0.2500 0.7500 1
Tc1 Tc 0.0000 0.0000 0.5000 1
Tc2 Tc 0.2500 0.2500 0.2500 1

No. 3
Computed, not measured: a relaxed V3HPt crystal at the PBEsol level of DFT.

Geometry as CIF:
```
data_V3HPt
_cell_length_a 3.8122
_cell_length_b 3.8122
_cell_length_c 3.8122
_cell_angle_alpha 90.00
_cell_angle_beta 90.00
_cell_angle_gamma 90.00
_space_group_name_H-M_alt 'P m -3 m'
_space_group_IT_number 221
_space_group_name_Hall '-P 4 2 3'
loop_
_atom_site_label
_atom_site_type_symbol
_atom_site_fract_x
_atom_site_fract_y
_atom_site_fract_z
_atom_site_occupancy
V1 V 0.0000 0.0000 0.5000 1
H1 H 0.0000 0.0000 0.0000 1
Pt1 Pt 0.5000 0.5000 0.5000 1
```

No. 4
# BaAu2 | the Alexandria database | PBEsol | optimized geometry
# calculated formation energy: -62 kJ per mole of atoms
data_BaAu2
_cell_length_a 4.4471
_cell_length_b 4.4471
_cell_length_c 17.0448
_cell_angle_alpha 90.00
_cell_angle_beta 90.00
_cell_angle_gamma 90.00
_space_group_name_H-M_alt 'I 41/a m d'
_space_group_IT_number 141
loop_
_space_group_symop_operation_xyz
'x,y,z'
'-x,-y,-z'
'-y+1/4,x+3/4,z+1/4'
'y+1/4,-x+3/4,-z+1/4'
'-x+1/2,-y,z+1/2'
'x+1/2,y,-z+1/2'
'y+1/4,-x+1/4,z+3/4'
'-y+1/4,x+1/4,-z+3/4'
'x,-y,-z'
'-x,y,z'
'-y+1/4,-x+1/4,-z+3/4'
'y+1/4,x+1/4,z+3/4'
'-x+1/2,y,-z+1/2'
'x+1/2,-y,z+1/2'
'y+1/4,x+3/4,-z+1/4'
'-y+1/4,-x+3/4,z+1/4'
'x+1/2,y+1/2,z+1/2'
'-x+1/2,-y+1/2,-z+1/2'
'-y+3/4,x+1/4,z+3/4'
'y+3/4,-x+1/4,-z+3/4'
'-x,-y+1/2,z'
'x,y+1/2,-z'
'y+3/4,-x+3/4,z+1/4'
'-y+3/4,x+3/4,-z+1/4'
'x+1/2,-y+1/2,-z+1/2'
'-x+1/2,y+1/2,z+1/2'
'-y+3/4,-x+3/4,-z+1/4'
'y+3/4,x+3/4,z+1/4'
'-x,y+1/2,-z'
'x,-y+1/2,z'
'y+3/4,x+1/4,-z+3/4'
'-y+3/4,-x+1/4,z+3/4'
loop_
_atom_site_label
_atom_site_type_symbol
_atom_site_fract_x
_atom_site_fract_y
_atom_site_fract_z
_atom_site_occupancy
Ba1 Ba 0.0000 0.2500 0.3750 1
Au1 Au 0.0000 0.2500 0.7958 1

Number 1: E_tot -45.25 eV per cell. Number 2: E_tot -93.54 eV per cell. Number 3: E_tot -40.82 eV per cell. Number 4: E_tot -47.67 eV per cell.